Below is PrSi2Pd2 after structural relaxation, with properties calculated at the PBE level.

The structure in POSCAR format:
```
PrSi2Pd2
1.0
0.0000 3.0192 4.9803
3.0140 0.0000 4.9803
3.0140 3.0192 0.0000
Pr Si Pd
1 2 2
Cartesian
0.0000 0.0000 0.0000
3.0140 3.0192 3.7825
3.0140 3.0192 6.1782
1.5070 1.5096 2.4902
4.5210 4.5288 7.4705
```

Formation energy without anion corrections = -0.93 eV/atom
Crystal system = orthorhombic
SG = No. 69
Magnetic moment = 0.0 μB/f.u.
Calculated density = 7.5 Mg/m³
D(E_F) = 2.23 states/eV/f.u.